The following is a GGA-PBE calculation of a geometry-optimized LaHgSe2O8 structure, from Alexandria via LeMat-Bulk.

Results
* uncorrected energy: -5.504 eV/atom
* formation energy from raw total energies: -114 kJ per mole of atoms
* total magnetic moment: 0.0393 μB/atom
* theoretical density: 4.350 g/cm3

a b c (Å): 9.487 6.101 8.288
angles (deg): 90.00 95.57 90.00
Space group C2/m (No. 12)
Inequivalent atoms, fractional coordinates:
La  0.000  0.000  0.000 [2 per cell]
Hg  0.000  0.000  0.500 [2 per cell]
Se  0.160  0.500  0.238 [4 per cell]
O  0.056  0.276  0.208 [8 per cell]
O  0.227  0.000  0.905 [4 per cell]
O  0.241  0.500  0.425 [4 per cell]